Entry from Alexandria: a relaxed structure of TbHo2Tl (PBE).

Values from the calculation:
ΔE_f: -0.137 eV/atom
Relative energy among the computed polymorphs: 40 meV/atom
Fermi-level density of states: 3.75 states/eV/f.u.

a b c (Å): 4.7817 4.6315 11.1392
angles (deg): 101.98 90.00 90.00
Fractional coordinates of all 8 atoms:
Tb1 0.2500 0.3065 0.6132
Tb2 0.7500 0.6935 0.3868
Ho1 0.7500 0.4430 0.8848
Ho2 0.2500 0.5570 0.1152
Ho3 0.2500 0.9344 0.8677
Ho4 0.7500 0.0656 0.1323
Tl1 0.7500 0.8353 0.6709
Tl2 0.2500 0.1647 0.3291